Entry 1:
SrTlSe2 (PBE, optimized geometry); SG = P4/mmm (123); total magnetic moment = 0.0000 μB per atom; electronic total energy = -15.0 eV for the cell shown; Fermi-level density of states = 1.288 states/eV/cell; formation energy from raw total energies = -0.9844 eV per atom
1.0
4.031 0.000 0.000
0.000 4.031 0.000
0.000 0.000 7.009
Sr Tl Se
1 1 2
Cartesian
0.000 0.000 0.000
0.000 0.000 3.504
2.015 2.015 1.529
2.015 2.015 5.480



Entry 2:
SrTl3Se (PBE, optimized geometry); SG = Pm-3m (221); total magnetic moment = 0.0000 μB per atom; electronic total energy = -12.4 eV for the cell shown; Fermi-level density of states = 4.126 states/eV/cell; formation energy from raw total energies = -0.0170 eV per atom
1.0
5.860 0.000 0.000
0.000 5.860 0.000
0.000 0.000 5.860
Sr Tl Se
1 3 1
Cartesian
0.000 0.000 0.000
0.000 2.930 2.930
2.930 0.000 2.930
2.930 2.930 0.000
2.930 2.930 2.930



Entry 3:
SrTl2Se (PBE, optimized geometry); SG = I-42d (122); total magnetic moment = 0.0000 μB per atom; electronic total energy = -24.2 eV for the cell shown; Fermi-level density of states = 4.939 states/eV/cell; formation energy from raw total energies = -0.5499 eV per atom
1.0
-4.610 4.610 3.115
4.610 -4.610 3.115
4.610 4.610 -3.115
Sr Tl Se
2 4 2
Cartesian
0.000 0.000 0.000
0.000 4.610 1.558
2.305 -1.908 2.337
2.701 2.305 0.779
2.305 6.518 -0.779
1.908 2.305 3.894
4.610 0.000 1.558
0.000 0.000 3.115



Entry 4:
Sr2TlSe (PBE, optimized geometry); SG = Cmmm (65); total magnetic moment = 0.0000 μB per atom; electronic total energy = -12.8 eV for the cell shown; Fermi-level density of states = 2.726 states/eV/cell; formation energy from raw total energies = -0.8951 eV per atom
1.0
3.683 -4.341 0.000
3.683 4.341 0.000
0.000 0.000 3.907
Sr Tl Se
2 1 1
Cartesian
1.841 2.170 0.000
1.841 -2.170 0.000
0.000 0.000 1.953
3.683 0.000 1.953



Entry 5:
SrTl2Se (PBE, optimized geometry); SG = P4mm (99); total magnetic moment = 0.0000 μB per atom; electronic total energy = -12.9 eV for the cell shown; Fermi-level density of states = 0.826 states/eV/cell; formation energy from raw total energies = -0.7618 eV per atom
1.0
4.234 0.000 0.000
0.000 4.234 0.000
0.000 0.000 7.663
Sr Tl Se
1 2 1
Cartesian
0.000 0.000 0.000
0.000 0.000 4.067
2.117 2.117 2.528
2.117 2.117 7.161



Entry 6:
Sr2Tl2Se (PBE, optimized geometry); SG = P4/mbm (127); total magnetic moment = 0.0000 μB per atom; electronic total energy = -29.7 eV for the cell shown; Fermi-level density of states = 6.967 states/eV/cell; formation energy from raw total energies = -0.6503 eV per atom
1.0
8.184 0.000 0.000
0.000 8.184 0.000
0.000 0.000 5.578
Sr Tl Se
4 4 2
Cartesian
1.484 2.609 0.000
2.609 6.701 0.000
5.576 1.484 0.000
6.701 5.576 0.000
1.071 5.163 2.789
3.022 1.071 2.789
5.163 7.114 2.789
7.114 3.022 2.789
0.000 0.000 0.000
4.092 4.092 0.000



Entry 7:
SrTlSe2 (PBE, optimized geometry); SG = P-1 (2); total magnetic moment = 0.0000 μB per atom; electronic total energy = -31.1 eV for the cell shown; formation energy from raw total energies = -1.1379 eV per atom
1.0
4.336 0.000 0.000
0.007 7.837 0.000
2.163 1.033 7.861
Sr Tl Se
2 2 4
Cartesian
1.082 0.667 1.838
5.423 8.202 6.024
3.244 4.278 6.139
3.261 4.591 1.722
1.093 5.965 0.033
3.247 1.746 4.076
3.258 7.124 3.786
5.413 2.905 7.828



Entry 8:
SrTl2Se (PBE, optimized geometry); SG = Pm (6); total magnetic moment = 0.0000 μB per atom; electronic total energy = -13.0 eV for the cell shown; Fermi-level density of states = 1.378 states/eV/cell; formation energy from raw total energies = -0.7666 eV per atom
1.0
4.242 0.000 0.000
0.000 4.254 0.000
-1.760 0.000 7.511
Sr Tl Se
1 2 1
Cartesian
0.000 0.000 0.000
0.051 0.000 4.129
2.165 2.127 2.605
0.361 2.127 7.022